1.
The following is a DFT calculation (PBE-GGA) of a relaxed structure of MgNiCl2.

```
data_MgNiCl2
_cell_length_a 11.5480
_cell_length_b 3.4263
_cell_length_c 4.1992
_cell_angle_alpha 90.00
_cell_angle_beta 93.12
_cell_angle_gamma 90.00
_space_group_name_H-M_alt 'C 1 m 1'
_space_group_IT_number 8
loop_
_space_group_symop_operation_xyz
'x,y,z'
'x,-y,z'
'x+1/2,y+1/2,z'
'x+1/2,-y+1/2,z'
loop_
_atom_site_label
_atom_site_type_symbol
_atom_site_fract_x
_atom_site_fract_y
_atom_site_fract_z
Mg1 Mg 0.0000 0.0000 0.0000
Ni1 Ni 0.1618 0.5000 0.9160
Cl1 Cl 0.1048 0.5000 0.4101
Cl2 Cl 0.3463 0.0000 0.9337
```

Summary:
calculated volume	20.7	Å³ per atom
uncorrected energy	-3.476	eV per atom
DOS at the Fermi energy	0.01	states/eV/cell
formation energy (no corrections)	-0.7083	eV per atom
relative energy among the computed polymorphs	90	meV/atom

***

2.
The following is a DFT calculation (PBE-GGA) of a relaxed structure of Mg2NiCl.

```
data_Mg2NiCl
_cell_length_a 3.6842
_cell_length_b 3.6842
_cell_length_c 11.0790
_cell_angle_alpha 90.00
_cell_angle_beta 90.00
_cell_angle_gamma 90.00
_space_group_name_H-M_alt 'I -4 m 2'
_space_group_IT_number 119
_space_group_name_Hall 'I -4 -2'
loop_
_atom_site_label
_atom_site_type_symbol
_atom_site_fract_x
_atom_site_fract_y
_atom_site_fract_z
Mg1 Mg 0.0000 0.0000 0.0000
Mg2 Mg 0.0000 0.5000 0.2500
Ni1 Ni 0.0000 0.5000 0.7500
Cl1 Cl 0.0000 0.0000 0.5000
```

Summary:
calculated volume	18.8	Å³ per atom
uncorrected energy	-2.843	eV per atom
DOS at the Fermi energy	3.82	states/eV/cell
formation energy (no corrections)	-0.1391	eV per atom
relative energy among the computed polymorphs	411	meV/atom

***

3.
The following is a DFT calculation (PBE-GGA) of a relaxed structure of MgNiCl2.

```
data_MgNiCl2
_cell_length_a 6.3880
_cell_length_b 6.3880
_cell_length_c 6.3880
_cell_angle_alpha 90.00
_cell_angle_beta 90.00
_cell_angle_gamma 90.00
_space_group_name_H-M_alt 'F m -3 m'
_space_group_IT_number 225
_space_group_name_Hall '-F 4 2 3'
loop_
_atom_site_label
_atom_site_type_symbol
_atom_site_fract_x
_atom_site_fract_y
_atom_site_fract_z
Mg1 Mg 0.0000 0.0000 0.0000
Ni1 Ni 0.0000 0.0000 0.5000
Cl1 Cl 0.2500 0.2500 0.2500
```

Summary:
calculated volume	16.3	Å³ per atom
uncorrected energy	-3.053	eV per atom
DOS at the Fermi energy	13.27	states/eV/cell
formation energy (no corrections)	-0.2852	eV per atom
relative energy among the computed polymorphs	513	meV/atom

***

4.
The following is a DFT calculation (PBE-GGA) of a relaxed structure of Mg3NiCl.

```
data_Mg3NiCl
_cell_length_a 4.9072
_cell_length_b 4.9072
_cell_length_c 4.9072
_cell_angle_alpha 90.00
_cell_angle_beta 90.00
_cell_angle_gamma 90.00
_space_group_name_H-M_alt 'P m -3 m'
_space_group_IT_number 221
_space_group_name_Hall '-P 4 2 3'
loop_
_atom_site_label
_atom_site_type_symbol
_atom_site_fract_x
_atom_site_fract_y
_atom_site_fract_z
Mg1 Mg 0.0000 0.0000 0.5000
Ni1 Ni 0.0000 0.0000 0.0000
Cl1 Cl 0.5000 0.5000 0.5000
```

Summary:
calculated volume	23.6	Å³ per atom
uncorrected energy	-2.610	eV per atom
DOS at the Fermi energy	1.81	states/eV/cell
formation energy (no corrections)	-0.1275	eV per atom
relative energy among the computed polymorphs	0	meV/atom

***

5.
The following is a DFT calculation (PBE-GGA) of a relaxed structure of MgNiCl2.

```
data_MgNiCl2
_cell_length_a 3.3839
_cell_length_b 6.6682
_cell_length_c 7.3095
_cell_angle_alpha 90.00
_cell_angle_beta 90.00
_cell_angle_gamma 90.00
_space_group_name_H-M_alt 'C m m m'
_space_group_IT_number 65
_space_group_name_Hall '-C 2 2'
loop_
_atom_site_label
_atom_site_type_symbol
_atom_site_fract_x
_atom_site_fract_y
_atom_site_fract_z
Mg1 Mg 0.0000 0.0000 0.0000
Ni1 Ni 0.0000 0.0000 0.5000
Cl1 Cl 0.0000 0.5000 0.2792
```

Summary:
calculated volume	20.6	Å³ per atom
uncorrected energy	-3.126	eV per atom
DOS at the Fermi energy	4.43	states/eV/cell
formation energy (no corrections)	-0.3589	eV per atom
relative energy among the computed polymorphs	440	meV/atom

***

6.
The following is a DFT calculation (PBE-GGA) of a relaxed structure of MgNiCl2.

```
data_MgNiCl2
_cell_length_a 4.7621
_cell_length_b 4.7621
_cell_length_c 13.3932
_cell_angle_alpha 90.00
_cell_angle_beta 90.00
_cell_angle_gamma 90.00
_space_group_name_H-M_alt 'I -4 2 d'
_space_group_IT_number 122
_space_group_name_Hall 'I -4 2bw'
loop_
_atom_site_label
_atom_site_type_symbol
_atom_site_fract_x
_atom_site_fract_y
_atom_site_fract_z
Mg1 Mg 0.0000 0.0000 0.0000
Ni1 Ni 0.0000 0.0000 0.5000
Cl1 Cl 0.2276 0.2500 0.6250
```

Summary:
calculated volume	19.0	Å³ per atom
uncorrected energy	-3.309	eV per atom
DOS at the Fermi energy	5.62	states/eV/cell
formation energy (no corrections)	-0.5416	eV per atom
relative energy among the computed polymorphs	257	meV/atom

***

7.
The following is a DFT calculation (PBE-GGA) of a relaxed structure of MgNi3Cl.

```
data_MgNi3Cl
_cell_length_a 4.5544
_cell_length_b 4.5544
_cell_length_c 4.5544
_cell_angle_alpha 90.00
_cell_angle_beta 90.00
_cell_angle_gamma 90.00
_space_group_name_H-M_alt 'P m -3 m'
_space_group_IT_number 221
_space_group_name_Hall '-P 4 2 3'
loop_
_atom_site_label
_atom_site_type_symbol
_atom_site_fract_x
_atom_site_fract_y
_atom_site_fract_z
Mg1 Mg 0.0000 0.0000 0.0000
Ni1 Ni 0.0000 0.0000 0.5000
Cl1 Cl 0.5000 0.5000 0.5000
```

Summary:
calculated volume	18.9	Å³ per atom
uncorrected energy	-2.910	eV per atom
DOS at the Fermi energy	8.53	states/eV/cell
formation energy (no corrections)	1.2474	eV per atom
relative energy among the computed polymorphs	854	meV/atom

***

8.
The following is a DFT calculation (PBE-GGA) of a relaxed structure of MgNi2Cl2.

```
data_MgNi2Cl2
_cell_length_a 4.1752
_cell_length_b 4.1752
_cell_length_c 10.1673
_cell_angle_alpha 90.00
_cell_angle_beta 90.00
_cell_angle_gamma 90.00
_space_group_name_H-M_alt 'I 4/m m m'
_space_group_IT_number 139
_space_group_name_Hall '-I 4 2'
loop_
_atom_site_label
_atom_site_type_symbol
_atom_site_fract_x
_atom_site_fract_y
_atom_site_fract_z
Mg1 Mg 0.0000 0.0000 0.0000
Ni1 Ni 0.0000 0.0000 0.3886
Cl1 Cl 0.0000 0.5000 0.2500
```

Summary:
calculated volume	17.7	Å³ per atom
uncorrected energy	-3.281	eV per atom
DOS at the Fermi energy	14.02	states/eV/cell
formation energy (no corrections)	0.0892	eV per atom
relative energy among the computed polymorphs	246	meV/atom

***

9.
The following is a DFT calculation (PBE-GGA) of a relaxed structure of MgNiCl2.

```
data_MgNiCl2
_cell_length_a 3.4485
_cell_length_b 3.4485
_cell_length_c 6.5101
_cell_angle_alpha 90.00
_cell_angle_beta 90.00
_cell_angle_gamma 90.00
_space_group_name_H-M_alt 'P 4 m m'
_space_group_IT_number 99
loop_
_space_group_symop_operation_xyz
'x,y,z'
'-y,x,z'
'-x,-y,z'
'y,-x,z'
'-x,y,z'
'y,x,z'
'x,-y,z'
'-y,-x,z'
loop_
_atom_site_label
_atom_site_type_symbol
_atom_site_fract_x
_atom_site_fract_y
_atom_site_fract_z
Mg1 Mg 0.0000 0.0000 0.0000
Ni1 Ni 0.5000 0.5000 0.1585
Cl1 Cl 0.0000 0.0000 0.3715
Cl2 Cl 0.5000 0.5000 0.8243
```

Summary:
calculated volume	19.4	Å³ per atom
uncorrected energy	-3.347	eV per atom
formation energy (no corrections)	-0.5802	eV per atom
relative energy among the computed polymorphs	218	meV/atom

***

10.
The following is a DFT calculation (PBE-GGA) of a relaxed structure of MgNiCl2.

```
data_MgNiCl2
_cell_length_a 3.5013
_cell_length_b 3.5013
_cell_length_c 25.2856
_cell_angle_alpha 90.00
_cell_angle_beta 90.00
_cell_angle_gamma 120.00
_space_group_name_H-M_alt 'R 3 m'
_space_group_IT_number 160
_space_group_name_Hall 'R 3 -2"'
loop_
_atom_site_label
_atom_site_type_symbol
_atom_site_fract_x
_atom_site_fract_y
_atom_site_fract_z
Mg1 Mg 0.0000 0.0000 0.0000
Ni1 Ni 0.0000 0.0000 0.7484
Cl1 Cl 0.0000 0.0000 0.2757
Cl2 Cl 0.0000 0.0000 0.4577
```

Summary:
calculated volume	22.4	Å³ per atom
uncorrected energy	-3.436	eV per atom
DOS at the Fermi energy	10.47	states/eV/cell
formation energy (no corrections)	-0.6689	eV per atom
relative energy among the computed polymorphs	130	meV/atom

***

11.
The following is a DFT calculation (PBE-GGA) of a relaxed structure of MgNi2Cl6.

```
data_MgNi2Cl6
_cell_length_a 13.6723
_cell_length_b 3.5400
_cell_length_c 9.3106
_cell_angle_alpha 90.00
_cell_angle_beta 112.74
_cell_angle_gamma 90.00
_space_group_name_H-M_alt 'C 1 2/m 1'
_space_group_IT_number 12
loop_
_space_group_symop_operation_xyz
'x,y,z'
'-x,-y,-z'
'-x,y,-z'
'x,-y,z'
'x+1/2,y+1/2,z'
'-x+1/2,-y+1/2,-z'
'-x+1/2,y+1/2,-z'
'x+1/2,-y+1/2,z'
loop_
_atom_site_label
_atom_site_type_symbol
_atom_site_fract_x
_atom_site_fract_y
_atom_site_fract_z
Mg1 Mg 0.0000 0.0000 0.0000
Ni1 Ni 0.1675 0.5000 0.3360
Cl1 Cl 0.0385 0.0000 0.2869
Cl2 Cl 0.1386 0.5000 0.0623
Cl3 Cl 0.2041 0.5000 0.6087
```

Summary:
calculated volume	23.1	Å³ per atom
uncorrected energy	-3.696	eV per atom
formation energy (no corrections)	-1.0026	eV per atom

***

12.
The following is a DFT calculation (PBE-GGA) of a relaxed structure of Mg2NiCl.

```
data_Mg2NiCl
_cell_length_a 6.7454
_cell_length_b 6.7454
_cell_length_c 6.7454
_cell_angle_alpha 90.00
_cell_angle_beta 90.00
_cell_angle_gamma 90.00
_space_group_name_H-M_alt 'F -4 3 m'
_space_group_IT_number 216
_space_group_name_Hall 'F -4 2 3'
loop_
_atom_site_label
_atom_site_type_symbol
_atom_site_fract_x
_atom_site_fract_y
_atom_site_fract_z
Mg1 Mg 0.0000 0.0000 0.0000
Mg2 Mg 0.2500 0.2500 0.2500
Ni1 Ni 0.2500 0.2500 0.7500
Cl1 Cl 0.0000 0.0000 0.5000
```

Summary:
calculated volume	19.2	Å³ per atom
uncorrected energy	-2.431	eV per atom
DOS at the Fermi energy	16.00	states/eV/cell
formation energy (no corrections)	0.2734	eV per atom
relative energy among the computed polymorphs	824	meV/atom